1.
BeCdS2: relaxed, GGA-PBE.

Calculated values
- Space-group type: Pna2_1
- ΔE_f (raw): -3.27 eV/f.u.
- Total moment: 0.0 μB per cell
- E: -4.041 eV per atom

Geometry as POSCAR:
```
BeCdS2
1.0
6.472 0.000 0.000
0.000 7.685 0.000
0.000 0.000 6.225
Be Cd S
4 4 8
direct
0.069 0.126 0.000
0.431 0.626 0.500
0.569 0.374 0.000
0.931 0.874 0.500
0.089 0.622 0.999
0.411 0.122 0.499
0.589 0.878 0.999
0.911 0.378 0.499
0.050 0.095 0.659
0.113 0.655 0.591
0.387 0.155 0.091
0.450 0.595 0.159
0.550 0.405 0.659
0.613 0.845 0.591
0.887 0.345 0.091
0.950 0.905 0.159
```

---

2.
BeCdS2: relaxed, GGA-PBE.

Calculated values
- Space-group type: Fmm2
- ΔE_f (raw): -3.02 eV/f.u.
- Total moment: 0.0 μB per cell
- E: -3.978 eV per atom

Geometry as POSCAR:
```
BeCdS2
1.0
0.000 5.640 3.098
4.988 0.000 3.098
4.988 5.640 0.000
Be Cd S
2 2 4
direct
0.142 0.858 0.858
0.858 0.142 0.142
0.351 0.644 0.356
0.644 0.351 0.649
0.045 0.775 0.225
0.162 0.514 0.838
0.514 0.162 0.486
0.775 0.045 0.955
```

---

3.
BeCdS2: relaxed, GGA-PBE.

Calculated values
- Space-group type: I4/mcm
- ΔE_f (raw): -1.86 eV/f.u.
- Total moment: 0.0 μB per cell
- E: -3.689 eV per atom

Geometry as POSCAR:
```
BeCdS2
1.0
-3.421 3.421 2.895
3.421 -3.421 2.895
3.421 3.421 -2.895
Be Cd S
2 2 4
direct
0.250 0.750 0.500
0.750 0.250 0.500
0.250 0.250 0.000
0.750 0.750 0.000
0.163 0.663 0.826
0.337 0.163 0.500
0.663 0.837 0.500
0.837 0.337 0.174
```

---

4.
BeCdS2: relaxed, GGA-PBE.

Calculated values
- Space-group type: C2/c
- ΔE_f (raw): -2.71 eV/f.u.
- Total moment: 0.0 μB per cell
- E: -3.902 eV per atom

Geometry as POSCAR:
```
BeCdS2
1.0
3.921 -5.129 0.000
3.921 5.129 0.000
-2.956 0.000 4.881
Be Cd S
2 2 4
direct
0.004 0.996 0.750
0.996 0.004 0.250
0.306 0.694 0.250
0.694 0.306 0.750
0.047 0.271 0.109
0.271 0.047 0.609
0.729 0.953 0.391
0.953 0.729 0.891
```

---

5.
BeCdS2: relaxed, GGA-PBE.

Calculated values
- Space-group type: C2/c
- ΔE_f (raw): -2.60 eV/f.u.
- Total moment: 0.0 μB per cell
- E: -3.875 eV per atom

Geometry as POSCAR:
```
BeCdS2
1.0
5.570 -4.353 0.000
5.570 4.353 0.000
-1.944 0.000 12.343
Be Cd S
8 8 16
direct
0.023 0.771 0.839
0.229 0.977 0.661
0.275 0.479 0.646
0.479 0.275 0.146
0.521 0.725 0.854
0.725 0.521 0.354
0.771 0.023 0.339
0.977 0.229 0.161
0.081 0.661 0.122
0.296 0.411 0.398
0.339 0.919 0.378
0.411 0.296 0.898
0.589 0.704 0.102
0.661 0.081 0.622
0.704 0.589 0.602
0.919 0.339 0.878
0.019 0.981 0.250
0.027 0.532 0.725
0.193 0.279 0.058
0.279 0.193 0.558
0.290 0.705 0.946
0.295 0.710 0.554
0.459 0.541 0.250
0.468 0.973 0.775
0.532 0.027 0.225
0.541 0.459 0.750
0.705 0.290 0.446
0.710 0.295 0.054
0.721 0.807 0.442
0.807 0.721 0.942
0.973 0.468 0.275
0.981 0.019 0.750
```

---

6.
BeCdS2: relaxed, GGA-PBE.

Calculated values
- Space-group type: R-3m
- ΔE_f (raw): -1.88 eV/f.u.
- Total moment: 0.0 μB per cell
- E: -3.695 eV per atom

Geometry as POSCAR:
```
BeCdS2
1.0
2.062 1.191 6.444
-2.062 1.191 6.444
0.000 -2.381 6.444
Be Cd S
1 1 2
direct
0.000 0.000 0.000
0.500 0.500 0.500
0.097 0.097 0.097
0.903 0.903 0.903
```

---

> E of number 3 (BeCdS2)?

-3.689 eV per atom